[1]
Below is a relaxed structure of Y8ScIn2, with properties calculated at the PBE-GGA level.

The value obtained for the total magnetization is 0.00 μB per formula unit. Its total energy is -5.83 eV/atom. As for the density of states at the Fermi level: 15.77 states/eV/f.u.

The space group is C2/m (No. 12) and the conventional cell measures 8.872, 15.066 and 5.602 Å, with angles of 90.00, 115.06 and 90.00 degrees. The distinct sites, in fractional coordinates, are Y at (0.000, 0.212, 0.000), Y at (0.107, 0.500, 0.798), Y at (0.209, 0.115, 0.620), Sc at (0.000, 0.000, 0.000) and In at (0.000, 0.306, 0.500).

[2]
Below is a relaxed structure of Y5ScIn4, with properties calculated at the PBE-GGA level.

The value obtained for the total magnetization is 0.00 μB per formula unit. Its total energy is -5.36 eV/atom. As for the density of states at the Fermi level: 8.12 states/eV/f.u.

The space group is P4/mmm (No. 123) and the conventional cell measures 3.746, 3.746 and 19.338 Å, with angles of 90.00, 90.00 and 90.00 degrees. The distinct sites, in fractional coordinates, are Y at (0.000, 0.000, 0.000), Y at (0.000, 0.000, 0.198), Y at (0.000, 0.000, 0.396), Sc at (0.500, 0.500, 0.500), In at (0.500, 0.500, 0.099) and In at (0.500, 0.500, 0.298).

[3]
Below is a relaxed structure of Y6ScIn2, with properties calculated at the PBE-GGA level.

The value obtained for the total magnetization is 0.00 μB per formula unit. Its total energy is -5.84 eV/atom. As for the density of states at the Fermi level: 11.96 states/eV/f.u.

The space group is C2/m (No. 12) and the conventional cell measures 12.662, 3.688 and 11.765 Å, with angles of 90.00, 106.89 and 90.00 degrees. The distinct sites, in fractional coordinates, are Y at (0.023, 0.000, 0.342), Y at (0.173, 0.500, 0.880), Y at (0.192, 0.500, 0.593), Sc at (0.000, 0.000, 0.000) and In at (0.141, 0.500, 0.186).

[4]
Below is a relaxed structure of Y2ScIn, with properties calculated at the PBE-GGA level.

The value obtained for the total magnetization is 0.33 μB per formula unit. Its total energy is -5.72 eV/atom. As for the density of states at the Fermi level: 5.91 states/eV/f.u.

The space group is I-4m2 (No. 119) and the conventional cell measures 4.650, 4.650 and 9.991 Å, with angles of 90.00, 90.00 and 90.00 degrees. The distinct sites, in fractional coordinates, are Y at (0.000, 0.000, 0.000), Y at (0.000, 0.500, 0.250), Sc at (0.000, 0.000, 0.500) and In at (0.000, 0.500, 0.750).